First-principles (PBE) data for an optimized crystal structure of NaTa2Mn2, as listed in Alexandria.

For the calculated formation energy, the calculation gives 0.442 eV per atom. Its density of states at the Fermi level is 15.3 states/eV/cell. The calculation puts the energy above the lowest structure with this stoichiometry at 0 meV/atom.

The structure belongs to space group P4/mbm (No. 127); the cell edges are 7.5237, 7.5237 and 2.9648 Å and the angles 90.00°, 90.00° and 90.00°. Symmetry generates all atoms from Na at (0.0000, 0.0000, 0.0000), Ta at (0.1447, 0.3553, 0.5000) and Mn at (0.1355, 0.6355, 0.0000).